Entry 1:
## Ta2Tl (GGA-PBE)

Data for crystalline Ta2Tl at its relaxed geometry.

Lattice parameters (Å, degrees): 8.4737 8.4737 2.8679 90.00 90.00 120.00
With the nearest neighbours (Å) after each atom.
Positions (direct):
Ta  0.3145  0.0000  0.0000  8 Ta 2.87-3.18, 4 Tl 2.91-3.03
Ta  0.0000  0.3145  0.0000  8 Ta 2.87-3.18, 4 Tl 2.91-3.03
Ta  0.6855  0.6855  0.0000  8 Ta 2.87-3.18, 4 Tl 2.91-3.03
Ta  0.6485  0.0000  0.5000  8 Ta 2.87-3.18, 5 Tl 2.98-3.10
Ta  0.0000  0.6485  0.5000  8 Ta 2.87-3.18, 5 Tl 2.98-3.10
Ta  0.3515  0.3515  0.5000  8 Ta 2.87-3.18, 5 Tl 2.98-3.10
Tl  0.3333  0.6667  0.0000  2 Tl 2.87, 9 Ta 2.91-3.10
Tl  0.6667  0.3333  0.0000  2 Tl 2.87, 9 Ta 2.91-3.10
Tl  0.0000  0.0000  0.5000  2 Tl 2.87, 9 Ta 2.98-3.03

Computed properties:
Raw total energy: -8.17 eV per atom
Space-group type: No. 189
Formation energy: 0.520 eV/atom

Entry 2:
## GdB2 (GGA-PBE)

Data for crystalline GdB2 at its relaxed geometry.

Lattice parameters (Å, degrees): 3.2978 3.2978 3.9476 90.00 90.00 120.00
With the nearest neighbours (Å) after each atom.
Positions (direct):
B  0.3333  0.6667  0.5000  3 B 1.90
B  0.6667  0.3333  0.5000  3 B 1.90
Gd  0.0000  0.0000  0.0000  12 B 2.74

Computed properties:
Raw total energy: -9.62 eV per atom
Space-group type: No. 191
Formation energy: -0.478 eV/atom

Entry 3:
## Sr2ZrTa (GGA-PBE)

Data for crystalline Sr2ZrTa at its relaxed geometry.

Lattice parameters (Å, degrees): 6.4403 6.4403 6.4403 139.03 138.60 59.65
With the nearest neighbours (Å) after each atom.
Positions (direct):
Sr  0.9986  0.9986  0.0000  4 Sr 3.20, 2 Ta 3.58
Sr  0.5014  0.5014  0.0000  4 Sr 3.20, 2 Ta 3.58
Ta  0.7500  0.2500  0.5000  4 Zr 3.20, 4 Sr 3.58
Zr  0.2500  0.7500  0.5000  4 Ta 3.20

Computed properties:
Raw total energy: -4.97 eV per atom
Space-group type: No. 71
Formation energy: 0.968 eV/atom

Entry 4:
## Ta2Ga2Au (GGA-PBE)

Data for crystalline Ta2Ga2Au at its relaxed geometry.

Lattice parameters (Å, degrees): 6.6435 6.6435 3.8029 90.00 90.00 90.00
With the nearest neighbours (Å) after each atom.
Positions (direct):
Au  0.0000  0.0000  0.0000  4 Ga 2.61
Au  0.5000  0.5000  0.0000  4 Ga 2.61
Ga  0.3719  0.8719  0.0000  1 Ga 2.41, 2 Au 2.61, 2 Ta 2.65
Ga  0.8719  0.6281  0.0000  1 Ga 2.41, 2 Au 2.61, 2 Ta 2.65
Ga  0.6281  0.1281  0.0000  1 Ga 2.41, 2 Au 2.61, 2 Ta 2.65
Ga  0.1281  0.3719  0.0000  1 Ga 2.41, 2 Au 2.61, 2 Ta 2.65
Ta  0.1747  0.6747  0.5000  6 Ga 2.65-2.79
Ta  0.6747  0.8253  0.5000  6 Ga 2.65-2.79
Ta  0.8253  0.3253  0.5000  6 Ga 2.65-2.79
Ta  0.3253  0.1747  0.5000  6 Ga 2.65-2.79

Computed properties:
Raw total energy: -6.65 eV per atom
Space-group type: No. 127
Formation energy: -0.038 eV/atom

Entry 5:
## FeTc2Os (GGA-PBE)

Data for crystalline FeTc2Os at its relaxed geometry.

Lattice parameters (Å, degrees): 8.8789 8.8789 8.8789 17.47 17.47 17.47
With the nearest neighbours (Å) after each atom.
Positions (direct):
Fe  0.2500  0.2500  0.2500  6 Tc 2.61, 6 Fe 2.70
Os  0.7500  0.7500  0.7500  6 Os 2.70, 6 Tc 2.76
Tc  0.9967  0.9967  0.9967  3 Fe 2.61, 6 Tc 2.70, 3 Os 2.76
Tc  0.5033  0.5033  0.5033  3 Fe 2.61, 6 Tc 2.70, 3 Os 2.76

Computed properties:
Raw total energy: -9.98 eV per atom
Space-group type: No. 166
Formation energy: 0.131 eV/atom

Entry 6:
## Rb4Ce3YO8 (GGA-PBE)

Data for crystalline Rb4Ce3YO8 at its relaxed geometry.

Lattice parameters (Å, degrees): 7.2708 7.8117 7.2709 117.74 120.00 90.00
With the nearest neighbours (Å) after each atom.
Positions (direct):
Rb  0.5000  0.0000  0.0000  6 O 3.02
Rb  0.5000  0.0000  0.5000  6 O 2.98
Rb  0.0000  0.0000  0.0000  6 O 2.98
Rb  0.0000  0.0000  0.5000  6 O 2.98
Ce  0.5000  0.5000  0.0000  6 O 2.41-2.42
Ce  0.5000  0.5000  0.5000  6 O 2.41-2.42
Ce  0.0000  0.5000  0.5000  6 O 2.41-2.42
Y  0.0000  0.5000  0.0000  6 O 2.36
O  0.2219  0.6762  0.9544  1 Y 2.36, 2 Ce 2.42
O  0.2219  0.6762  0.4439  1 Y 2.36, 2 Ce 2.42
O  0.2738  0.3216  0.5476  3 Ce 2.41
O  0.7324  0.6762  0.9544  1 Y 2.36, 2 Ce 2.42
O  0.2676  0.3238  0.0456  1 Y 2.36, 2 Ce 2.42
O  0.7262  0.6784  0.4524  3 Ce 2.41
O  0.7781  0.3238  0.5561  1 Y 2.36, 2 Ce 2.42
O  0.7781  0.3238  0.0456  1 Y 2.36, 2 Ce 2.42

Computed properties:
Raw total energy: -6.80 eV per atom
Space-group type: No. 166
Energy relative to the elements, uncorrected: -2.57 eV/atom

Entry 7:
## NaTl2AsF (GGA-PBE)

Data for crystalline NaTl2AsF at its relaxed geometry.

Lattice parameters (Å, degrees): 5.5543 5.6850 5.5543 90.00 90.00 90.00
With the nearest neighbours (Å) after each atom.
Positions (direct):
Na  0.0000  0.5000  0.0000  2 As 2.84
Tl  0.0000  0.0000  0.5000  2 As 2.78
Tl  0.5000  0.0000  0.0000  2 As 2.78
As  0.0000  0.0000  0.0000  4 Tl 2.78, 2 Na 2.84
F  0.5000  0.5000  0.5000  4 Na 3.93, 8 Tl 3.97

Computed properties:
Raw total energy: -2.95 eV per atom
Space-group type: No. 123
Energy relative to the elements, uncorrected: -0.44 eV/atom

Entry 8:
## Rb2Tl9Hg6 (GGA-PBE)

Data for crystalline Rb2Tl9Hg6 at its relaxed geometry.

Lattice parameters (Å, degrees): 6.7295 6.7295 15.9236 90.00 90.00 120.00
With the nearest neighbours (Å) after each atom.
Positions (direct):
Rb  0.0000  0.0000  0.6647  6 Hg 3.89, 12 Tl 4.27-4.32
Rb  0.0000  0.0000  0.3353  6 Hg 3.89, 12 Tl 4.27-4.32
Tl  0.5000  0.0000  0.8344  4 Hg 3.28-3.32, 4 Tl 3.36
Tl  0.0000  0.5000  0.8344  4 Hg 3.28-3.32, 4 Tl 3.36
Tl  0.5000  0.5000  0.8344  4 Hg 3.28-3.32, 4 Tl 3.36
Tl  0.5000  0.0000  0.1656  4 Hg 3.28-3.32, 4 Tl 3.36
Tl  0.0000  0.5000  0.1656  4 Hg 3.28-3.32, 4 Tl 3.36
Tl  0.5000  0.5000  0.1656  4 Hg 3.28-3.32, 4 Tl 3.36
Tl  0.5000  0.0000  0.5000  4 Hg 3.28, 4 Tl 3.36
Tl  0.0000  0.5000  0.5000  4 Hg 3.28, 4 Tl 3.36
Tl  0.5000  0.5000  0.5000  4 Hg 3.28, 4 Tl 3.36
Hg  0.3333  0.6667  0.0000  6 Tl 3.28
Hg  0.6667  0.3333  0.0000  6 Tl 3.28
Hg  0.3333  0.6667  0.6656  6 Tl 3.28-3.32
Hg  0.6667  0.3333  0.6656  6 Tl 3.28-3.32
Hg  0.6667  0.3333  0.3344  6 Tl 3.28-3.32
Hg  0.3333  0.6667  0.3344  6 Tl 3.28-3.32

Computed properties:
Raw total energy: -1.47 eV per atom
Space-group type: No. 191
Formation energy: 0.004 eV/atom

Entry 9:
## CaPt2 (GGA-PBE)

Data for crystalline CaPt2 at its relaxed geometry.

Lattice parameters (Å, degrees): 4.7599 4.7599 5.7184 90.00 90.00 120.00
With the nearest neighbours (Å) after each atom.
Positions (direct):
Ca  0.3333  0.6667  0.2500  5 Pt 2.75-2.86
Ca  0.6667  0.3333  0.7500  5 Pt 2.75-2.86
Pt  0.0000  0.0000  0.0000  8 Pt 2.86-3.10, 6 Ca 3.10
Pt  0.0000  0.0000  0.5000  8 Pt 2.86-3.10, 6 Ca 3.10
Pt  0.3333  0.6667  0.7500  5 Ca 2.75-2.86
Pt  0.6667  0.3333  0.2500  5 Ca 2.75-2.86

Computed properties:
Raw total energy: -5.20 eV per atom
Space-group type: No. 194
Formation energy: -0.506 eV/atom

Entry 10:
## Sr2MnAl3Au12 (GGA-PBE)

Data for crystalline Sr2MnAl3Au12 at its relaxed geometry.

Lattice parameters (Å, degrees): 8.3500 8.3500 8.3500 62.30 62.30 62.30
With the nearest neighbours (Å) after each atom.
Positions (direct):
Sr  0.6158  0.6158  0.6158  6 Au 3.13-3.14
Sr  0.3842  0.3842  0.3842  6 Au 3.13-3.14
Mn  0.0000  0.0000  0.0000  6 Au 2.59
Al  0.5000  0.0000  0.0000  6 Au 2.51
Al  0.0000  0.5000  0.0000  6 Au 2.51
Al  0.0000  0.0000  0.5000  6 Au 2.51
Au  0.3558  0.3558  0.8934  2 Al 2.51
Au  0.8779  0.8779  0.3698  1 Al 2.51, 1 Mn 2.59
Au  0.3698  0.8779  0.8779  1 Al 2.51, 1 Mn 2.59
Au  0.8934  0.3558  0.3558  2 Al 2.51
Au  0.8779  0.3698  0.8779  1 Al 2.51, 1 Mn 2.59
Au  0.3558  0.8934  0.3558  2 Al 2.51
Au  0.6442  0.6442  0.1066  2 Al 2.51
Au  0.1221  0.1221  0.6302  1 Al 2.51, 1 Mn 2.59
Au  0.6302  0.1221  0.1221  1 Al 2.51, 1 Mn 2.59
Au  0.1066  0.6442  0.6442  2 Al 2.51
Au  0.1221  0.6302  0.1221  1 Al 2.51, 1 Mn 2.59
Au  0.6442  0.1066  0.6442  2 Al 2.51

Computed properties:
Raw total energy: -3.66 eV per atom
Space-group type: No. 166
Formation energy: -0.159 eV/atom

Entry 11:
## CsZnAg (GGA-PBE)

Data for crystalline CsZnAg at its relaxed geometry.

Lattice parameters (Å, degrees): 3.7898 3.7898 7.0090 105.69 105.69 90.00
With the nearest neighbours (Å) after each atom.
Positions (direct):
Cs  0.9992  0.9992  0.9983  1 Ag 3.52, 1 Zn 3.55, 4 Cs 3.79
Zn  0.2736  0.2736  0.5471  4 Ag 2.75
Ag  0.7273  0.7273  0.4546  4 Zn 2.75

Computed properties:
Raw total energy: -1.52 eV per atom
Space-group type: No. 107
Formation energy: 0.138 eV/atom

Entry 12:
## Sc3RhAu (GGA-PBE)

Data for crystalline Sc3RhAu at its relaxed geometry.

Lattice parameters (Å, degrees): 5.0557 5.0557 5.0557 90.00 90.00 90.00
With the nearest neighbours (Å) after each atom.
Positions (direct):
Sc  0.0000  0.5000  0.0000  2 Au 2.53
Sc  0.0000  0.0000  0.5000  2 Au 2.53
Sc  0.5000  0.0000  0.0000  2 Au 2.53
Rh  0.5000  0.5000  0.5000  12 Sc 3.57
Au  0.0000  0.0000  0.0000  6 Sc 2.53

Computed properties:
Raw total energy: -5.65 eV per atom
Space-group type: No. 221
Formation energy: 0.271 eV/atom